# 1
{"formula": "Cr3MoCl", "functional": "GGA-PBE", "state": "optimized geometry", "sg": "Pm-3m (221)", "raw_formation_energy_mev_per_atom": 977, "rho_g_cm3": 6.9, "energy_ev_per_cell": -36.66, "lattice": [[-3.2088, -1.4736, -2.0939], [2.4830, -2.6106, -1.9677], [-0.6253, -2.8046, 2.9319]], "species": ["Mo", "Cr", "Cr", "Cr", "Cl"], "fractional_positions": [[0.5000, 0.5000, 0.5000], [0.5000, 0.0000, 0.0000], [0.0000, 0.0000, 0.5000], [0.0000, 0.5000, 0.0000], [0.0000, 0.0000, 0.0000]]}

# 2
{"formula": "CrMoCl", "functional": "GGA-PBE", "state": "optimized geometry", "sg": "Imm2 (44)", "raw_formation_energy_mev_per_atom": 807, "rho_g_cm3": 6.9, "energy_ev_per_cell": -19.88, "lattice": [[-3.6627, -1.4328, 2.1672], [0.9816, -2.0520, 3.8719], [0.4740, 3.9128, -2.1518]], "species": ["Mo", "Cr", "Cl"], "fractional_positions": [[0.6702, 0.6702, 0.0000], [0.3233, 0.3233, 0.0000], [0.0066, 0.0066, 0.0000]]}